# ScTcOs3 PBEsol relaxed
data_ScTcOs3
_cell_length_a 4.4778
_cell_length_b 4.4778
_cell_length_c 4.4778
_cell_angle_alpha 90.00
_cell_angle_beta 90.00
_cell_angle_gamma 90.00
_space_group_name_H-M_alt 'P 1'
_space_group_IT_number 1
_space_group_name_Hall 'P 1'
loop_
_atom_site_label
_atom_site_fract_x
_atom_site_fract_y
_atom_site_fract_z
Sc1 0.0000 0.0000 0.0000
Tc1 0.5000 0.5000 0.5000
Os1 0.0000 0.0000 0.5000
Os2 0.0000 0.5000 0.0000
Os3 0.5000 0.0000 0.0000
# **Energy relative to the elements**: 12.76 eV per formula unit
# **SG**: No. 221
# **Total magnetic moment**: 1.814 μB per formula unit
# **DOS at the Fermi energy**: 0.974 states/eV per atom